# 1
! SrVCu3, optimized geometry, DFT PBE; values from VASP
&SYSTEM
  ibrav = 0, nat = 5, ntyp = 3
/
ATOMIC_SPECIES
Sr 87.62 Sr.upf
Cu 63.55 Cu.upf
V 50.94 V.upf
ATOMIC_POSITIONS crystal
Sr 0.5000 0.5000 0.5000
Cu 0.0000 0.5000 0.0000
Cu 0.0000 0.0000 0.5000
Cu 0.5000 0.0000 0.0000
V 0.0000 0.0000 0.0000
CELL_PARAMETERS angstrom
4.7586 0.0000 0.0000
0.0000 4.7586 0.0000
0.0000 0.0000 4.7586
! N(E_F), states/eV/f.u.: 6.2
! Polymorph energy (0 for the lowest one), eV/atom: 0.0000

***

# 2
! SrV2Cu2, optimized geometry, DFT PBE; values from VASP
&SYSTEM
  ibrav = 0, nat = 10, ntyp = 3
/
ATOMIC_SPECIES
Sr 87.62 Sr.upf
Cu 63.55 Cu.upf
V 50.94 V.upf
ATOMIC_POSITIONS crystal
Sr 0.0000 0.0000 0.0000
Sr 0.5000 0.5000 0.0000
Cu 0.1983 0.6983 0.5000
Cu 0.6983 0.8017 0.5000
Cu 0.8017 0.3017 0.5000
Cu 0.3017 0.1983 0.5000
V 0.4100 0.9100 0.0000
V 0.9100 0.5900 0.0000
V 0.5900 0.0900 0.0000
V 0.0900 0.4100 0.0000
CELL_PARAMETERS angstrom
7.7162 0.0000 0.0000
0.0000 7.7162 0.0000
0.0000 0.0000 2.9157
! N(E_F), states/eV/f.u.: 6.0
! Polymorph energy (0 for the lowest one), eV/atom: 0.0000

***

# 3
! SrV2Cu, optimized geometry, DFT PBE; values from VASP
&SYSTEM
  ibrav = 0, nat = 4, ntyp = 3
/
ATOMIC_SPECIES
Sr 87.62 Sr.upf
Cu 63.55 Cu.upf
V 50.94 V.upf
ATOMIC_POSITIONS crystal
Sr 0.5000 0.5000 0.5000
Cu 0.0000 0.0000 0.0000
V 0.2500 0.2500 0.2500
V 0.7500 0.7500 0.7500
CELL_PARAMETERS angstrom
0.0000 3.3983 3.3983
3.3983 0.0000 3.3983
3.3983 3.3983 0.0000
! N(E_F), states/eV/f.u.: 9.2
! Polymorph energy (0 for the lowest one), eV/atom: 0.2181